i.
# Na3Hg2F8 PBE-GGA optimized geometry
data_Na3Hg2F8
_symmetry_space_group_name_H-M 'C 1 2/m 1'
_symmetry_Int_Tables_number 12
_symmetry_space_group_name_Hall '-C 2y'
_cell_length_a 9.964
_cell_length_b 7.208
_cell_length_c 5.562
_cell_angle_alpha 90.00
_cell_angle_beta 94.80
_cell_angle_gamma 90.00
loop_
_atom_site_label
_atom_site_type_symbol
_atom_site_fract_x
_atom_site_fract_y
_atom_site_fract_z
Na1 Na 0.000 0.000 0.000
Na2 Na 0.000 0.244 0.500
Hg1 Hg 0.194 0.500 0.061
F1 F 0.047 0.500 0.747
F2 F 0.125 0.000 0.682
F3 F 0.152 0.207 0.173
# **Volume**: 398 Å³ per cell

ii.
# Na3Hg2F8 PBE-GGA optimized geometry
data_Na3Hg2F8
_symmetry_space_group_name_H-M 'C 1 2/m 1'
_symmetry_Int_Tables_number 12
_symmetry_space_group_name_Hall '-C 2y'
_cell_length_a 12.021
_cell_length_b 6.418
_cell_length_c 5.606
_cell_angle_alpha 90.00
_cell_angle_beta 110.52
_cell_angle_gamma 90.00
loop_
_atom_site_label
_atom_site_type_symbol
_atom_site_fract_x
_atom_site_fract_y
_atom_site_fract_z
Na1 Na 0.000 0.000 0.000
Na2 Na 0.000 0.265 0.500
Hg1 Hg 0.235 0.500 0.180
F1 F 0.107 0.500 0.370
F2 F 0.116 0.000 0.442
F3 F 0.129 0.230 0.911
# **Volume**: 405 Å³ per cell

Out of the structures above, which one is the most stable? Solution: i.